Entry 1:
# YP2PdO

An optimized crystal structure of YP2PdO (PBEsol, Alexandria via LeMat-Bulk).

```
data_YP2PdO
_chemical_formula_sum 'Y1 P2 Pd1 O1'
_cell_length_a 4.651
_cell_length_b 4.651
_cell_length_c 3.965
_cell_angle_alpha 90.00
_cell_angle_beta 90.00
_cell_angle_gamma 90.00
_space_group_name_H-M_alt 'P 1'
_space_group_IT_number 1
_space_group_name_Hall 'P 1'
loop_
_atom_site_label
_atom_site_type_symbol
_atom_site_fract_x
_atom_site_fract_y
_atom_site_fract_z
Y1 Y 0.000 0.000 0.000
P1 P 0.000 0.500 0.500
P2 P 0.500 0.000 0.500
Pd1 Pd 0.500 0.500 0.500
O1 O 0.500 0.500 0.000
```

Properties
For the offset from the most stable computed form, the calculation gives 0.0000 eV per atom. As for the space group: No. 123. As for the formation energy (no corrections): -0.384 eV/atom. As for the magnetic moment: 0.001 μB per atom. The calculated volume comes out at 85.8 Å³/cell.

=====

Entry 2:
# YP2PdO

An optimized crystal structure of YP2PdO (PBEsol, Alexandria via LeMat-Bulk).

```
data_YP2PdO
_chemical_formula_sum 'Y1 P2 Pd1 O1'
_cell_length_a 5.260
_cell_length_b 5.260
_cell_length_c 4.005
_cell_angle_alpha 90.00
_cell_angle_beta 90.00
_cell_angle_gamma 90.00
_space_group_name_H-M_alt 'P 1'
_space_group_IT_number 1
_space_group_name_Hall 'P 1'
loop_
_atom_site_label
_atom_site_type_symbol
_atom_site_fract_x
_atom_site_fract_y
_atom_site_fract_z
Y1 Y 0.000 0.000 0.000
P1 P 0.000 0.500 0.000
P2 P 0.500 0.000 0.000
Pd1 Pd 0.500 0.500 0.500
O1 O 0.000 0.000 0.500
```

Properties
For the offset from the most stable computed form, the calculation gives 0.6740 eV per atom. As for the space group: No. 123. As for the formation energy (no corrections): 0.290 eV/atom. As for the magnetic moment: 0.100 μB per atom. The calculated volume comes out at 110.8 Å³/cell.

=====

Entry 3:
# PrP3O9

An optimized crystal structure of PrP3O9 (PBEsol, Alexandria via LeMat-Bulk).

```
data_PrP3O9
_chemical_formula_sum 'Pr2 P6 O18'
_cell_length_a 7.072
_cell_length_b 7.072
_cell_length_c 7.348
_cell_angle_alpha 90.00
_cell_angle_beta 90.00
_cell_angle_gamma 105.48
_space_group_name_H-M_alt 'P 1'
_space_group_IT_number 1
_space_group_name_Hall 'P 1'
loop_
_atom_site_label
_atom_site_type_symbol
_atom_site_fract_x
_atom_site_fract_y
_atom_site_fract_z
Pr1 Pr 0.123 0.123 0.000
Pr2 Pr 0.877 0.877 0.500
P1 P 0.251 0.251 0.500
P2 P 0.315 0.664 0.047
P3 P 0.336 0.685 0.453
P4 P 0.664 0.315 0.953
P5 P 0.685 0.336 0.547
P6 P 0.749 0.749 0.000
O1 O 0.133 0.172 0.332
O2 O 0.172 0.133 0.668
O3 O 0.176 0.785 0.461
O4 O 0.215 0.824 0.039
O5 O 0.218 0.471 0.963
O6 O 0.252 0.470 0.543
O7 O 0.376 0.624 0.250
O8 O 0.470 0.252 0.457
O9 O 0.471 0.218 0.037
O10 O 0.529 0.782 0.537
O11 O 0.530 0.748 0.957
O12 O 0.624 0.376 0.750
O13 O 0.748 0.530 0.043
O14 O 0.782 0.529 0.463
O15 O 0.785 0.176 0.539
O16 O 0.824 0.215 0.961
O17 O 0.828 0.867 0.168
O18 O 0.867 0.828 0.832
```

Properties
As for the space group: No. 20. As for the formation energy (no corrections): -2.520 eV/atom. As for the magnetic moment: 0.000 μB per atom. The calculated volume comes out at 354.2 Å³/cell.

=====

Entry 4:
# PrPO4

An optimized crystal structure of PrPO4 (PBEsol, Alexandria via LeMat-Bulk).

```
data_PrPO4
_chemical_formula_sum 'Pr2 P2 O8'
_cell_length_a 5.928
_cell_length_b 5.928
_cell_length_c 5.928
_cell_angle_alpha 106.01
_cell_angle_beta 106.01
_cell_angle_gamma 116.63
_space_group_name_H-M_alt 'P 1'
_space_group_IT_number 1
_space_group_name_Hall 'P 1'
loop_
_atom_site_label
_atom_site_type_symbol
_atom_site_fract_x
_atom_site_fract_y
_atom_site_fract_z
Pr1 Pr 0.375 0.625 0.750
Pr2 Pr 0.625 0.375 0.250
P1 P 0.125 0.875 0.250
P2 P 0.875 0.125 0.750
O1 O 0.143 0.722 0.421
O2 O 0.200 0.278 0.921
O3 O 0.278 0.200 0.421
O4 O 0.278 0.857 0.079
O5 O 0.722 0.143 0.921
O6 O 0.722 0.800 0.579
O7 O 0.800 0.722 0.079
O8 O 0.857 0.278 0.579
```

Properties
As for the space group: No. 141. As for the formation energy (no corrections): -3.000 eV/atom. As for the magnetic moment: 0.000 μB per atom. The calculated volume comes out at 158.5 Å³/cell.

=====

Entry 5:
# PrPO4

An optimized crystal structure of PrPO4 (PBEsol, Alexandria via LeMat-Bulk).

```
data_PrPO4
_chemical_formula_sum 'Pr4 P4 O16'
_cell_length_a 6.411
_cell_length_b 6.995
_cell_length_c 8.160
_cell_angle_alpha 90.00
_cell_angle_beta 126.17
_cell_angle_gamma 90.00
_space_group_name_H-M_alt 'P 1'
_space_group_IT_number 1
_space_group_name_Hall 'P 1'
loop_
_atom_site_label
_atom_site_type_symbol
_atom_site_fract_x
_atom_site_fract_y
_atom_site_fract_z
Pr1 Pr 0.182 0.158 0.282
Pr2 Pr 0.182 0.342 0.782
Pr3 Pr 0.818 0.658 0.218
Pr4 Pr 0.818 0.842 0.718
P1 P 0.309 0.662 0.197
P2 P 0.309 0.838 0.697
P3 P 0.691 0.162 0.303
P4 P 0.691 0.338 0.803
O1 O 0.115 0.668 0.618
O2 O 0.115 0.832 0.118
O3 O 0.191 0.504 0.251
O4 O 0.191 0.996 0.751
O5 O 0.336 0.605 0.026
O6 O 0.336 0.895 0.526
O7 O 0.412 0.213 0.125
O8 O 0.412 0.287 0.625
O9 O 0.588 0.713 0.375
O10 O 0.588 0.787 0.875
O11 O 0.664 0.105 0.474
O12 O 0.664 0.395 0.974
O13 O 0.809 0.004 0.249
O14 O 0.809 0.496 0.749
O15 O 0.885 0.168 0.882
O16 O 0.885 0.332 0.382
```

Properties
As for the space group: No. 14. As for the formation energy (no corrections): -3.020 eV/atom. As for the magnetic moment: 0.000 μB per atom. The calculated volume comes out at 295.4 Å³/cell.

=====

Entry 6:
# PrZnPO

An optimized crystal structure of PrZnPO (PBEsol, Alexandria via LeMat-Bulk).

```
data_PrZnPO
_chemical_formula_sum 'Pr2 Zn2 P2 O2'
_cell_length_a 10.565
_cell_length_b 10.565
_cell_length_c 10.565
_cell_angle_alpha 21.67
_cell_angle_beta 21.67
_cell_angle_gamma 21.67
_space_group_name_H-M_alt 'P 1'
_space_group_IT_number 1
_space_group_name_Hall 'P 1'
loop_
_atom_site_label
_atom_site_type_symbol
_atom_site_fract_x
_atom_site_fract_y
_atom_site_fract_z
Pr1 Pr 0.118 0.118 0.118
Pr2 Pr 0.882 0.882 0.882
Zn1 Zn 0.304 0.304 0.304
Zn2 Zn 0.696 0.696 0.696
P1 P 0.385 0.385 0.385
P2 P 0.615 0.615 0.615
O1 O 0.195 0.195 0.195
O2 O 0.805 0.805 0.805
```

Properties
As for the space group: No. 166. As for the formation energy (no corrections): -1.818 eV/atom. As for the magnetic moment: 0.000 μB per atom. The calculated volume comes out at 140.9 Å³/cell.